No. 1
Here is a geometry-optimized BaSi2W structure from Alexandria. Energies are from GGA-PBE.

```
BaSi2W
1.0
-3.803 -1.535 -2.555
0.677 -2.628 -3.998
-1.155 -4.691 -0.032
Ba Si W
1 2 1
Cartesian
-2.140 -4.427 -3.292
0.000 0.000 0.000
-1.070 -2.213 -1.646
-3.211 -6.640 -4.938
```

Computed properties:
uncorrected formation energy = 1177 meV per atom
offset from the most stable computed form = 1174 meV per atom
SG = F-43m
crystal system = cubic

No. 2
Here is a geometry-optimized CsBeGe3 structure from Alexandria. Energies are from GGA-PBE.

```
CsBeGe3
1.0
-3.257 -3.368 -1.439
3.289 -1.844 -3.130
1.610 -3.046 3.486
Cs Be Ge
1 1 3
Cartesian
0.821 -4.129 -0.541
0.000 0.000 0.000
1.645 -0.922 -1.565
0.805 -1.523 1.743
-1.628 -1.684 -0.719
```

Computed properties:
offset from the most stable computed form = 0 meV per atom
SG = Pm-3m
crystal system = cubic

No. 3
Here is a geometry-optimized KSnSe2 structure from Alexandria. Energies are from GGA-PBE.

```
KSnSe2
1.0
6.811 0.006 0.000
-3.045 6.092 0.000
-1.883 -3.049 5.792
K Sn Se
2 2 4
Cartesian
2.605 4.218 0.000
0.722 1.169 0.000
3.186 -0.352 2.896
-1.742 2.691 2.896
4.128 1.172 0.787
-2.683 1.167 5.004
0.451 -0.769 2.896
0.994 3.108 2.896
```

Computed properties:
uncorrected formation energy = -692 meV per atom
SG = I4/mcm
crystal system = tetragonal

No. 4
Here is a geometry-optimized LiTlSn2Se4 structure from Alexandria. Energies are from GGA-PBE.

```
LiTlSn2Se4
1.0
4.127 0.000 0.000
-2.063 6.874 0.000
0.000 0.000 14.964
Li Tl Sn Se
2 2 4 8
Cartesian
2.063 4.558 11.223
0.000 2.316 3.741
0.000 1.482 11.223
2.063 5.391 3.741
0.000 5.085 8.448
2.063 1.789 0.966
2.063 1.789 6.516
0.000 5.085 13.998
0.000 3.607 1.572
2.063 3.266 9.054
2.063 3.266 13.392
0.000 3.607 5.910
0.000 0.000 7.482
0.000 0.000 0.000
0.000 5.951 11.223
2.063 0.922 3.741
```

Computed properties:
uncorrected formation energy = -535 meV per atom
SG = Cmcm
crystal system = orthorhombic

No. 5
Here is a geometry-optimized Li2Ca2ErPb2 structure from Alexandria. Energies are from GGA-PBE.

```
Li2Ca2ErPb2
1.0
4.873 0.000 0.000
2.437 4.220 0.000
2.437 1.407 9.269
Li Ca Er Pb
2 2 1 2
Cartesian
4.873 2.814 1.637
4.873 2.814 7.631
2.437 1.407 5.745
7.310 4.220 3.524
0.000 0.000 0.000
7.310 4.220 7.435
2.437 1.407 1.834
```

Computed properties:
SG = R-3m
crystal system = trigonal
total DFT energy (no corrections) = -3.21 eV/atom

No. 6
Here is a geometry-optimized BeCr2SbTe structure from Alexandria. Energies are from GGA-PBE.

```
BeCr2SbTe
1.0
-0.330 5.131 0.780
-2.918 -0.689 3.296
3.917 -0.267 3.411
Sb Te Be Cr
1 1 1 2
Cartesian
0.335 2.088 3.744
0.000 0.000 0.000
-1.459 -0.344 1.648
1.958 -0.133 1.705
-0.165 2.566 0.390
```

Computed properties:
uncorrected formation energy = 966 meV per atom
SG = P4/mmm
crystal system = tetragonal

No. 7
Here is a geometry-optimized CdNiW2 structure from Alexandria. Energies are from GGA-PBE.

```
CdNiW2
1.0
-0.347 -4.470 -0.183
3.516 -2.570 1.082
-0.059 -2.403 3.789
Cd Ni W
1 1 2
Cartesian
1.555 -4.721 2.344
2.332 -7.082 3.515
0.000 0.000 0.000
0.777 -2.361 1.172
```

Computed properties:
SG = F-43m
crystal system = cubic
total DFT energy (no corrections) = -7.57 eV/atom

No. 8
Here is a geometry-optimized Pr3BiBr3 structure from Alexandria. Energies are from GGA-PBE.

```
Pr3BiBr3
1.0
-5.693 -3.752 3.039
1.319 -6.047 4.173
-0.834 3.098 11.430
Pr Bi Br
6 2 6
Cartesian
-0.765 -4.254 5.347
-5.175 -4.563 5.870
-2.491 -7.550 7.790
-2.717 0.849 10.851
-0.033 -2.138 12.772
-4.443 -2.448 13.295
-1.458 -3.266 2.405
-3.750 -3.435 16.237
-2.183 -4.253 12.216
-4.737 -1.445 10.413
-0.577 -1.132 9.904
-4.632 -5.569 8.737
-0.472 -5.257 8.229
-3.026 -2.448 6.426
```

Computed properties:
uncorrected formation energy = -1291 meV per atom
SG = R-3
crystal system = trigonal

No. 9
Here is a geometry-optimized Mo2Ir7Ru2 structure from Alexandria. Energies are from GGA-PBE.

```
Mo2Ir7Ru2
1.0
-0.674 3.499 3.104
-5.862 -0.821 -1.632
-1.418 -4.692 3.698
Mo Ir Ru
2 7 2
Cartesian
-2.591 -2.215 4.247
-5.363 0.200 0.923
-1.023 -1.115 2.167
-5.338 -2.288 4.914
-6.932 -0.900 3.003
-2.616 0.273 0.256
0.000 0.000 0.000
-4.446 -0.273 3.510
-3.508 -1.742 1.660
-2.186 1.334 2.791
-5.769 -3.348 2.378
```

Computed properties:
SG = C2/m
crystal system = monoclinic
total DFT energy (no corrections) = -9.08 eV/atom

No. 10
Here is a geometry-optimized LiTaHgMo2 structure from Alexandria. Energies are from GGA-PBE.

```
LiTaHgMo2
1.0
-0.653 2.509 4.081
-2.750 -4.204 2.145
4.126 -1.798 1.766
Mo Li Hg Ta
2 1 1 1
Cartesian
2.063 -0.899 0.883
-0.327 1.255 2.040
0.361 -1.747 3.996
-1.375 -2.102 1.072
0.000 0.000 0.000
```

Computed properties:
SG = P4/mmm
crystal system = tetragonal
total DFT energy (no corrections) = -5.68 eV/atom

No. 11
Here is a geometry-optimized Cs2PmTlBr6 structure from Alexandria. Energies are from GGA-PBE.

```
Cs2PmTlBr6
1.0
8.299 0.000 0.004
0.000 8.736 0.000
0.078 0.000 11.976
Cs Pm Tl Br
4 2 2 12
Cartesian
0.203 8.145 2.994
4.392 4.959 8.984
8.174 0.591 8.986
3.985 3.777 2.996
4.189 0.000 5.990
0.000 4.368 0.000
4.150 0.000 0.002
0.039 4.368 5.988
2.350 5.969 0.522
6.539 7.135 6.512
6.027 2.767 11.458
1.838 1.601 5.468
2.697 6.318 5.422
6.885 6.786 11.412
5.680 2.418 6.558
1.492 1.950 0.568
7.571 4.577 2.787
3.461 8.527 8.773
0.806 4.159 9.193
4.917 0.209 3.207
```

Computed properties:
uncorrected formation energy = -1690 meV per atom
SG = P2_1/c
crystal system = monoclinic

No. 12
Here is a geometry-optimized Te2SeBr structure from Alexandria. Energies are from GGA-PBE.

```
Te2SeBr
1.0
-6.065 4.484 7.460
-2.913 5.571 8.544
-4.630 7.365 6.070
Te Se Br
2 1 1
Cartesian
-12.455 15.945 20.204
-1.153 1.476 1.870
0.000 0.000 0.000
-6.804 8.711 11.037
```

Computed properties:
uncorrected formation energy = 269 meV per atom
offset from the most stable computed form = 330 meV per atom
SG = R-3m
crystal system = trigonal

No. 13
Here is a geometry-optimized Na2HgBi2Pd5 structure from Alexandria. Energies are from GGA-PBE.

```
Na2HgBi2Pd5
1.0
-3.027 -1.982 -0.386
3.010 -6.218 8.326
-5.196 6.606 6.812
Na Hg Bi Pd
4 2 4 10
Cartesian
1.142 -3.044 6.677
-3.328 3.433 8.461
-1.235 1.174 3.657
-0.950 -0.785 11.481
0.000 0.000 0.000
-1.093 0.194 7.569
-2.897 3.356 5.475
0.711 -2.968 9.663
-2.569 1.745 11.182
0.384 -1.356 3.956
-1.181 -1.871 1.714
-4.032 0.277 13.038
-5.577 4.064 5.706
-1.790 -2.292 8.648
0.365 -5.658 9.046
-3.423 0.698 6.103
-3.458 0.175 9.064
-1.754 -1.769 5.688
-0.008 -4.100 3.970
-4.111 2.312 3.213
```

Computed properties:
SG = P4/mbm
crystal system = tetragonal
total DFT energy (no corrections) = -3.86 eV/atom

No. 14
Here is a geometry-optimized LaSc2Ni structure from Alexandria. Energies are from GGA-PBE.

```
LaSc2Ni
1.0
-0.751 -0.744 4.841
1.962 -4.549 0.097
3.230 1.408 0.717
La Ni Sc
1 1 2
Cartesian
1.239 0.332 2.779
2.596 -1.570 0.407
0.000 0.000 0.000
0.606 -2.647 2.469
```

Computed properties:
offset from the most stable computed form = 377 meV per atom
SG = Cmmm
crystal system = orthorhombic

No. 15
Here is a geometry-optimized La2Nd5Er12 structure from Alexandria. Energies are from GGA-PBE.

```
La2Nd5Er12
1.0
9.323 0.000 0.000
-4.662 11.358 -1.631
0.000 -5.405 6.744
La Nd Er
2 5 12
Cartesian
6.346 0.000 0.000
2.977 0.000 0.000
0.000 3.455 3.121
0.000 0.442 5.236
0.000 -2.703 3.372
4.662 5.510 -0.123
4.662 2.498 1.991
0.000 0.327 1.666
-3.005 2.836 5.211
3.005 2.836 5.211
-1.757 6.285 1.490
1.757 6.285 1.490
4.662 -2.923 5.087
0.000 8.876 0.026
6.419 -0.332 3.623
2.904 -0.332 3.623
7.667 3.116 -0.098
1.657 3.116 -0.098
4.662 5.625 3.447
```

Computed properties:
offset from the most stable computed form = 109 meV per atom
SG = C2/m
crystal system = monoclinic

No. 16
Here is a geometry-optimized Si23Se3 structure from Alexandria. Energies are from GGA-PBE.

```
Si23Se3
1.0
-0.943 -9.384 -3.768
10.092 -0.634 -0.945
0.638 -3.832 9.384
Se Si
6 46
Cartesian
4.810 -2.663 -1.415
4.339 -7.355 -3.299
-0.312 -5.650 0.462
0.007 -7.566 5.153
2.842 -2.075 4.456
7.888 -2.392 3.983
0.083 -4.262 3.750
-0.388 -8.954 1.865
5.205 -1.275 1.873
5.524 -3.191 6.565
2.052 -4.850 -2.120
7.098 -5.168 -2.593
6.693 -9.472 3.194
2.748 -7.829 0.091
6.805 -4.612 1.129
3.329 -5.788 4.927
7.988 -11.304 3.812
1.203 -8.480 -1.524
8.181 -2.947 0.261
2.203 -4.970 6.792
3.094 -4.379 1.476
7.040 -6.021 4.579
2.982 -9.238 3.541
6.459 -8.063 -0.257
1.799 -2.546 0.859
8.584 -5.371 6.194
1.607 -10.903 4.409
7.585 -8.881 -2.122
7.519 -3.825 7.645
3.211 -0.641 0.794
7.029 -0.881 0.437
3.701 -3.585 8.002
8.273 -7.027 -3.432
0.520 -6.540 -2.706
8.629 -3.478 -2.007
0.877 -2.991 -1.281
-0.394 -10.937 3.135
-0.635 -9.487 -0.415
0.089 -2.279 2.480
0.330 -3.729 6.030
4.675 -10.287 2.251
4.527 -9.398 0.076
5.113 -3.564 2.419
5.261 -4.452 4.594
6.262 -8.190 5.143
3.526 -5.660 -0.472
5.865 -5.807 -0.691
3.922 -8.043 5.362
7.922 -8.210 1.605
1.647 -7.816 2.192
8.140 -6.035 2.478
1.866 -5.640 3.066
```

Computed properties:
uncorrected formation energy = 190 meV per atom
SG = Pm-3n
crystal system = cubic

No. 17
Here is a geometry-optimized Cs3Pb4 structure from Alexandria. Energies are from GGA-PBE.

```
Cs3Pb4
1.0
5.401 0.000 0.000
-2.700 7.256 -0.001
0.000 0.001 17.412
Cs Pb
6 8
Cartesian
2.701 3.314 1.767
0.000 3.979 15.654
2.700 3.313 6.949
0.000 3.978 10.475
0.000 0.727 4.359
2.701 6.564 13.064
0.000 5.079 4.358
2.701 2.212 13.065
0.000 6.373 1.590
0.000 0.008 17.412
0.000 6.372 7.127
2.700 0.926 15.838
0.000 0.010 8.717
2.701 0.924 10.293
```

Computed properties:
offset from the most stable computed form = 35 meV per atom
SG = Amm2
crystal system = orthorhombic

No. 18
Here is a geometry-optimized Pr2SmH structure from Alexandria. Energies are from GGA-PBE.

```
Pr2SmH
1.0
-2.805 -0.977 1.803
-0.991 -2.030 -2.641
4.535 -6.682 3.434
Pr H Sm
2 1 1
Cartesian
3.682 -5.424 2.788
0.854 -1.258 0.646
-1.898 -1.503 -0.419
0.370 -4.844 1.299
```

Computed properties:
offset from the most stable computed form = 243 meV per atom
SG = P4/mmm
crystal system = tetragonal

No. 19
Here is a geometry-optimized Sc2Ga9Cu structure from Alexandria. Energies are from GGA-PBE.

```
Sc2Ga9Cu
1.0
-1.335 -2.972 -2.525
3.853 -1.419 -0.367
-1.776 -7.280 9.507
Sc Ga Cu
2 9 1
Cartesian
-0.582 -2.388 3.119
-1.193 -4.892 6.388
1.259 -2.196 -1.446
0.664 -4.634 1.738
0.078 -7.038 4.877
-0.938 -2.596 0.187
-1.555 -5.126 3.491
-2.172 -7.656 6.795
1.656 -1.820 1.266
1.039 -4.350 4.570
0.422 -6.880 7.874
0.000 0.000 0.000
```

Computed properties:
SG = P4/mmm
crystal system = tetragonal
total DFT energy (no corrections) = -3.97 eV/atom

No. 20
Here is a geometry-optimized La2DyGaSe5 structure from Alexandria. Energies are from GGA-PBE.

```
La2DyGaSe5
1.0
4.116 0.000 0.000
-2.058 8.986 0.000
0.000 0.000 12.649
La Dy Ga Se
4 2 2 10
Cartesian
2.058 6.818 10.168
0.000 2.314 8.622
0.000 2.168 3.844
2.058 6.673 2.298
2.058 5.593 6.293
0.000 3.394 12.617
2.058 1.208 12.353
0.000 7.778 6.028
0.000 6.275 12.622
2.058 3.721 10.485
2.058 0.178 10.051
0.000 5.422 8.339
2.058 8.485 7.384
2.058 2.711 6.297
0.000 5.266 4.161
0.000 8.808 3.726
2.058 3.565 2.014
0.000 0.502 1.060
```

Computed properties:
uncorrected formation energy = -1613 meV per atom
SG = Cmc2_1
crystal system = orthorhombic